1.
Compound: KNaCr3
Source: the Alexandria database
Functional: PBE
Structure: relaxed

Lattice parameters (Å, degrees): 5.496 5.496 5.496 90.00 90.00 90.00
Each line ends with the local moment (μB).
Element x y z (fractional)
Cr  0.000  0.500  0.000  4.22
Cr  0.000  0.000  0.500  4.21
Cr  0.500  0.000  0.000  4.12
K  0.500  0.500  0.500  0.02
Na  0.000  0.000  0.000  0.03

Computed properties:
Final energy = -4.59 eV/atom
E_form = 1.672 eV per atom
Polymorph energy (0 for the lowest one) = 0 meV per atom

---

2.
Compound: KNaCr3
Source: the Alexandria database
Functional: PBE
Structure: relaxed

Lattice parameters (Å, degrees): 5.826 5.826 5.826 90.00 90.00 90.00
Each line ends with the local moment (μB).
Element x y z (fractional)
Cr  0.000  0.500  0.000  4.32
Cr  0.000  0.000  0.500  4.28
Cr  0.500  0.000  0.000  4.33
K  0.000  0.000  0.000  0.14
Na  0.500  0.500  0.500  -0.01

Computed properties:
Final energy = -4.22 eV/atom
E_form = 2.042 eV per atom
Polymorph energy (0 for the lowest one) = 370 meV per atom

---

3.
Compound: KNa2Cr
Source: the Alexandria database
Functional: PBE
Structure: relaxed

Lattice parameters (Å, degrees): 9.432 9.432 7.570 51.47 51.47 90.00
Each line ends with the local moment (μB).
Element x y z (fractional)
Cr  0.000  0.000  0.000  4.24
Cr  0.750  0.250  0.500  4.24
K  0.500  0.500  0.000  0.01
K  0.250  0.750  0.500  0.01
Na  0.674  0.125  0.250  0.00
Na  0.076  0.625  0.250  0.00
Na  0.375  0.326  0.750  0.00
Na  0.875  0.924  0.750  0.00

Computed properties:
Final energy = -2.66 eV/atom
E_form = 0.684 eV per atom
Polymorph energy (0 for the lowest one) = 86 meV per atom